5
Lattice="4.5911 0.0000 0.0000 0.0000 4.5911 0.0000 0.0000 0.0000 6.2775" Properties=species:S:1:pos:R:3 comment="BaZrIN2, relaxed, DFT PBE" formation_energy_uncorrected_ev_per_fu=7.94 n_ef_per_ev_fu=5.8 vol_a3_per_cell=132 final_energy_ev_per_atom=-4.1454 polymorph_energy_ev_per_atom=1.9240 sg="P4/mmm, No. 123" pbc="T T T"
I 0.0000 0.0000 3.1387
Ba 0.0000 0.0000 0.0000
Zr 2.2955 2.2955 3.1387
N 0.0000 2.2955 0.0000
N 2.2955 0.0000 0.0000